1.
Entry from the Alexandria database: PrNdTlBi after structural relaxation (PBE).

Calculated values
- crystal system = cubic
- M_tot (Bohr magnetons per cell) = 0.00
- space-group type = F-43m (216)
- formation enthalpy at 0 K (eV/atom) = -0.484

Geometry as extended XYZ:
```
4
Lattice="0.000 3.962 3.962 3.962 0.000 3.962 3.962 3.962 0.000" Properties=species:S:1:pos:R:3 pbc="T T T"
Pr 0.000 0.000 0.000
Nd 3.962 3.962 3.962
Tl 1.981 1.981 1.981
Bi 5.942 5.942 5.942
```

---

2.
Entry from the Alexandria database: Pr2NdTm3Bi6 after structural relaxation (PBE).

Calculated values
- crystal system = monoclinic
- M_tot (Bohr magnetons per cell) = 0.00
- space-group type = C2/m (12)
- formation enthalpy at 0 K (eV/atom) = -0.864

Geometry as extended XYZ:
```
12
Lattice="9.869 -2.269 0.000 9.869 2.269 0.000 -2.042 0.000 8.824" Properties=species:S:1:pos:R:3 pbc="T T T"
Pr 2.607 0.000 2.937
Pr 15.090 0.000 5.888
Nd 9.869 0.000 0.000
Tm 1.593 0.000 7.352
Tm 8.848 0.000 4.412
Tm 16.104 0.000 1.473
Bi -1.454 0.000 6.562
Bi 4.639 0.000 8.164
Bi 5.806 0.000 3.610
Bi 11.891 0.000 5.214
Bi 13.058 0.000 0.660
Bi 19.150 0.000 2.263
```

---

3.
Entry from the Alexandria database: Pr2NdTmBi4 after structural relaxation (PBE).

Calculated values
- crystal system = monoclinic
- M_tot (Bohr magnetons per cell) = 0.00
- space-group type = P2/m (10)
- formation enthalpy at 0 K (eV/atom) = -0.905

Geometry as extended XYZ:
```
8
Lattice="7.936 0.000 0.000 0.000 4.588 0.000 -2.651 0.000 7.483" Properties=species:S:1:pos:R:3 pbc="T T T"
Pr 0.000 0.000 0.000
Pr -1.325 2.294 3.742
Nd 2.643 0.000 3.742
Tm 3.968 2.294 0.000
Bi 1.378 2.294 1.846
Bi 0.052 0.000 5.677
Bi 5.233 0.000 1.806
Bi 3.907 2.294 5.637
```

---

4.
Entry from the Alexandria database: PrNd2TmBi5 after structural relaxation (PBE).

Calculated values
- crystal system = tetragonal
- M_tot (Bohr magnetons per cell) = 0.00
- space-group type = P4/mmm (123)
- formation enthalpy at 0 K (eV/atom) = 0.027

Geometry as extended XYZ:
```
9
Lattice="5.613 0.000 0.000 0.000 5.613 0.000 0.000 0.000 11.914" Properties=species:S:1:pos:R:3 pbc="T T T"
Pr 0.000 0.000 0.000
Nd 2.807 2.807 2.662
Nd 2.807 2.807 9.252
Tm 0.000 0.000 5.957
Bi 0.000 0.000 3.084
Bi 0.000 0.000 8.830
Bi 0.000 2.807 0.000
Bi 2.807 0.000 0.000
Bi 2.807 2.807 5.957
```

---

5.
Entry from the Alexandria database: Pr2NdYBi5 after structural relaxation (PBE).

Calculated values
- crystal system = tetragonal
- M_tot (Bohr magnetons per cell) = 0.00
- space-group type = P4/mmm (123)
- formation enthalpy at 0 K (eV/atom) = -0.057

Geometry as extended XYZ:
```
9
Lattice="5.581 0.000 0.000 0.000 5.581 0.000 0.000 0.000 11.990" Properties=species:S:1:pos:R:3 pbc="T T T"
Pr 0.000 0.000 2.688
Pr 0.000 0.000 9.302
Nd 2.790 2.790 0.000
Y 2.790 2.790 5.995
Bi 0.000 0.000 5.995
Bi 0.000 2.790 0.000
Bi 2.790 0.000 0.000
Bi 2.790 2.790 3.083
Bi 2.790 2.790 8.907
```

---

6.
Entry from the Alexandria database: NdBiPt2 after structural relaxation (PBE).

Calculated values
- crystal system = tetragonal
- M_tot (Bohr magnetons per cell) = 0.00
- space-group type = P4/mmm (123)
- formation enthalpy at 0 K (eV/atom) = -0.663

Geometry as extended XYZ:
```
4
Lattice="4.851 0.000 0.000 0.000 4.851 0.000 0.000 0.000 3.802" Properties=species:S:1:pos:R:3 pbc="T T T"
Nd 0.000 0.000 0.000
Bi 2.425 2.425 0.000
Pt 0.000 2.425 1.901
Pt 2.425 0.000 1.901
```

---

7.
Entry from the Alexandria database: NdBiPt4 after structural relaxation (PBE).

Calculated values
- crystal system = cubic
- M_tot (Bohr magnetons per cell) = 0.00
- space-group type = F-43m (216)
- formation enthalpy at 0 K (eV/atom) = -0.660

Geometry as extended XYZ:
```
6
Lattice="0.000 3.894 3.894 3.894 0.000 3.894 3.894 3.894 0.000" Properties=species:S:1:pos:R:3 pbc="T T T"
Nd 0.000 0.000 0.000
Bi 1.947 1.947 1.947
Pt 4.869 2.919 2.919
Pt 2.919 4.869 2.919
Pt 2.919 2.919 4.869
Pt 4.869 4.869 4.869
```

---

8.
Entry from the Alexandria database: Nd3BiPt8 after structural relaxation (PBE).

Calculated values
- crystal system = trigonal
- M_tot (Bohr magnetons per cell) = 0.00
- space-group type = R3m (160)
- formation enthalpy at 0 K (eV/atom) = -0.885

Geometry as extended XYZ:
```
12
Lattice="2.769 1.598 8.983 -2.769 1.598 8.983 0.000 -3.197 8.983" Properties=species:S:1:pos:R:3 pbc="T T T"
Nd 0.000 0.000 0.000
Nd 0.000 0.000 3.478
Nd 0.000 0.000 13.844
Bi 0.000 0.000 17.286
Pt 0.000 -1.584 6.265
Pt -1.372 0.792 6.265
Pt -1.365 -0.788 10.880
Pt 0.000 0.000 8.555
Pt 1.372 0.792 6.265
Pt 1.365 -0.788 10.880
Pt 0.000 1.576 10.880
Pt 0.000 0.000 22.039
```

---

9.
Entry from the Alexandria database: Nd2BiPt9 after structural relaxation (PBE).

Calculated values
- crystal system = trigonal
- M_tot (Bohr magnetons per cell) = 0.00
- space-group type = R-3m (166)
- formation enthalpy at 0 K (eV/atom) = -0.623

Geometry as extended XYZ:
```
12
Lattice="2.739 1.581 8.933 -2.739 1.581 8.933 0.000 -3.162 8.933" Properties=species:S:1:pos:R:3 pbc="T T T"
Nd 0.000 0.000 3.640
Nd 0.000 0.000 23.159
Bi 0.000 0.000 0.000
Pt -1.387 -0.801 11.234
Pt 0.000 0.000 8.907
Pt 0.000 -1.602 15.565
Pt -1.387 0.801 15.565
Pt 0.000 0.000 13.399
Pt 1.387 -0.801 11.234
Pt 0.000 1.602 11.234
Pt 0.000 0.000 17.892
Pt 1.387 0.801 15.565
```

---

10.
Entry from the Alexandria database: Nd8Bi2Pt after structural relaxation (PBE).

Calculated values
- crystal system = monoclinic
- M_tot (Bohr magnetons per cell) = 0.00
- space-group type = C2/m (12)
- formation enthalpy at 0 K (eV/atom) = -0.490

Geometry as extended XYZ:
```
11
Lattice="9.781 -2.401 0.000 9.781 2.401 0.000 -1.088 0.000 7.656" Properties=species:S:1:pos:R:3 pbc="T T T"
Nd -0.211 0.000 2.126
Nd 3.251 0.000 6.531
Nd 6.401 0.000 3.551
Nd 6.863 0.000 7.590
Nd 11.610 0.000 0.066
Nd 12.072 0.000 4.106
Nd 15.222 0.000 1.125
Nd 18.684 0.000 5.530
Bi 3.280 0.000 2.087
Bi 15.193 0.000 5.569
Pt 9.237 0.000 3.828
```

---

11.
Entry from the Alexandria database: NdBi3Pt8 after structural relaxation (PBE).

Calculated values
- crystal system = trigonal
- M_tot (Bohr magnetons per cell) = 0.00
- space-group type = P3m1 (156)
- formation enthalpy at 0 K (eV/atom) = -0.333

Geometry as extended XYZ:
```
12
Lattice="5.569 0.000 0.000 -2.784 4.823 0.000 0.000 0.000 8.948" Properties=species:S:1:pos:R:3 pbc="T T T"
Nd 0.000 0.000 0.000
Bi 0.000 0.000 3.558
Bi 2.784 1.608 3.968
Bi 2.784 1.608 7.550
Pt 0.000 1.603 6.088
Pt -1.396 4.021 6.088
Pt 0.000 3.215 3.736
Pt 0.000 3.215 8.253
Pt 2.784 0.005 1.455
Pt 1.397 2.409 1.455
Pt 1.396 4.021 6.088
Pt 4.172 2.409 1.455
```

---

12.
Entry from the Alexandria database: Nd2BiPt2 after structural relaxation (PBE).

Calculated values
- crystal system = tetragonal
- M_tot (Bohr magnetons per cell) = 0.00
- space-group type = P4/mbm (127)
- formation enthalpy at 0 K (eV/atom) = -1.022

Geometry as extended XYZ:
```
10
Lattice="7.990 0.000 0.000 0.000 7.990 0.000 0.000 0.000 3.903" Properties=species:S:1:pos:R:3 pbc="T T T"
Nd 1.384 2.612 0.000
Nd 2.612 6.607 0.000
Nd 5.379 1.384 0.000
Nd 6.607 5.379 0.000
Bi 0.000 0.000 1.952
Bi 3.995 3.995 1.952
Pt 0.988 4.983 1.952
Pt 3.007 0.988 1.952
Pt 4.983 7.002 1.952
Pt 7.002 3.007 1.952
```

---

| no. | D(E_F) (states/eV/f.u.) |
| --- | --- |
| 1 | 5.3 |
| 2 | 2.0 |
| 3 | 1.2 |
| 4 | 6.2 |
| 5 | 6.2 |
| 6 | 1.4 |
| 7 | 1.5 |
| 8 | 5.4 |
| 9 | 11.2 |
| 10 | 12.7 |
| 11 | 12.0 |
| 12 | 3.3 |